DFT (meta-GGA SCAN) results for Mg3Zn at its PBEsol-relaxed geometry.

Geometry as POSCAR:
```
Mg3Zn
1.0
3.162 0.000 0.000
0.000 5.152 0.000
-1.581 -2.576 4.897
Mg Zn
3 1
direct
0.269 0.911 0.539
0.500 0.540 0.000
0.731 0.373 0.461
0.000 0.009 0.000
```

* spin magnetization: 0.001 Bohr magnetons per cell
* DOS(E_F): 1.645 states/eV per cell
* E_form: -38 meV per atom
* space group: Imm2
* VASP energy: -7.15 eV/atom